(1)
# Co2RuRhO6 | Alexandria via LeMat-Bulk | PBE+U | relaxed
data_Co2RuRhO6
_cell_length_a 5.4610
_cell_length_b 5.4610
_cell_length_c 5.4610
_cell_angle_alpha 55.48
_cell_angle_beta 55.48
_cell_angle_gamma 55.48
_symmetry_space_group_name_H-M 'P 1'
_symmetry_Int_Tables_number 1
loop_
_symmetry_equiv_pos_as_xyz
'x,y,z'
loop_
_atom_site_label
_atom_site_fract_x
_atom_site_fract_y
_atom_site_fract_z
_atom_site_occupancy
Co1 0.0000 0.0000 0.0000 1
Co2 0.4871 0.4871 0.4871 1
Ru1 0.2929 0.2929 0.2929 1
Rh1 0.8004 0.8004 0.8004 1
O1 0.1007 0.6898 0.3973 1
O2 0.2167 0.5704 0.8825 1
O3 0.3973 0.1007 0.6898 1
O4 0.5704 0.8825 0.2167 1
O5 0.6898 0.3973 0.1007 1
O6 0.8825 0.2167 0.5704 1
# VASP energy ... -6.499 eV/atom
# Total magnetization ... 5.067 μB per formula unit



(2)
# Co2SbRhO6 | Alexandria via LeMat-Bulk | PBE+U | relaxed
data_Co2SbRhO6
_cell_length_a 5.5459
_cell_length_b 5.5459
_cell_length_c 5.5459
_cell_angle_alpha 56.66
_cell_angle_beta 56.66
_cell_angle_gamma 56.66
_symmetry_space_group_name_H-M 'P 1'
_symmetry_Int_Tables_number 1
loop_
_symmetry_equiv_pos_as_xyz
'x,y,z'
loop_
_atom_site_label
_atom_site_fract_x
_atom_site_fract_y
_atom_site_fract_z
_atom_site_occupancy
Co1 0.0000 0.0000 0.0000 1
Co2 0.4977 0.4977 0.4977 1
Sb1 0.7908 0.7908 0.7908 1
Rh1 0.2929 0.2929 0.2929 1
O1 0.0758 0.4022 0.6887 1
O2 0.1807 0.8980 0.5807 1
O3 0.4022 0.6887 0.0758 1
O4 0.5807 0.1807 0.8980 1
O5 0.6887 0.0758 0.4022 1
O6 0.8980 0.5807 0.1807 1
# VASP energy ... -6.202 eV/atom
# Total magnetization ... 6.034 μB per formula unit



(3)
# CoSbRhO6 | Alexandria via LeMat-Bulk | PBE+U | relaxed
data_CoSbRhO6
_cell_length_a 5.2006
_cell_length_b 5.2006
_cell_length_c 8.7869
_cell_angle_alpha 90.00
_cell_angle_beta 90.00
_cell_angle_gamma 120.00
_symmetry_space_group_name_H-M 'P 1'
_symmetry_Int_Tables_number 1
loop_
_symmetry_equiv_pos_as_xyz
'x,y,z'
loop_
_atom_site_label
_atom_site_fract_x
_atom_site_fract_y
_atom_site_fract_z
_atom_site_occupancy
Co1 0.0000 0.0000 0.0000 1
Co2 0.0000 0.0000 0.5000 1
Sb1 0.3333 0.6667 0.2500 1
Sb2 0.6667 0.3333 0.7500 1
Rh1 0.3333 0.6667 0.7500 1
Rh2 0.6667 0.3333 0.2500 1
O1 0.0036 0.3471 0.6289 1
O2 0.0036 0.6565 0.8711 1
O3 0.3435 0.3471 0.8711 1
O4 0.3435 0.9964 0.6289 1
O5 0.3471 0.0036 0.1289 1
O6 0.3471 0.3435 0.3711 1
O7 0.6529 0.6565 0.6289 1
O8 0.6529 0.9964 0.8711 1
O9 0.6565 0.0036 0.3711 1
O10 0.6565 0.6529 0.1289 1
O11 0.9964 0.3435 0.1289 1
O12 0.9964 0.6529 0.3711 1
# VASP energy ... -6.101 eV/atom
# Total magnetization ... 4.767 μB per formula unit



(4)
# CoRhSe2O8 | Alexandria via LeMat-Bulk | PBE+U | relaxed
data_CoRhSe2O8
_cell_length_a 5.9565
_cell_length_b 5.9565
_cell_length_c 5.4081
_cell_angle_alpha 90.00
_cell_angle_beta 90.00
_cell_angle_gamma 120.00
_symmetry_space_group_name_H-M 'P 1'
_symmetry_Int_Tables_number 1
loop_
_symmetry_equiv_pos_as_xyz
'x,y,z'
loop_
_atom_site_label
_atom_site_fract_x
_atom_site_fract_y
_atom_site_fract_z
_atom_site_occupancy
Co1 0.0000 0.0000 0.0000 1
Rh1 0.0000 0.0000 0.5000 1
Se1 0.3333 0.6667 0.2275 1
Se2 0.6667 0.3333 0.7725 1
O1 0.1433 0.2865 0.2510 1
O2 0.1433 0.8567 0.2510 1
O3 0.2865 0.1433 0.7490 1
O4 0.3333 0.6667 0.9269 1
O5 0.6667 0.3333 0.0731 1
O6 0.7135 0.8567 0.2510 1
O7 0.8567 0.1433 0.7490 1
O8 0.8567 0.7135 0.7490 1
# VASP energy ... -5.414 eV/atom
# Total magnetization ... 3.356 μB per formula unit



(5)
# SrCo3Rh4O12 | Alexandria via LeMat-Bulk | PBE+U | relaxed
data_SrCo3Rh4O12
_cell_length_a 6.5224
_cell_length_b 6.5224
_cell_length_c 6.5224
_cell_angle_alpha 109.47
_cell_angle_beta 109.47
_cell_angle_gamma 109.47
_symmetry_space_group_name_H-M 'P 1'
_symmetry_Int_Tables_number 1
loop_
_symmetry_equiv_pos_as_xyz
'x,y,z'
loop_
_atom_site_label
_atom_site_fract_x
_atom_site_fract_y
_atom_site_fract_z
_atom_site_occupancy
Sr1 0.0000 0.0000 0.0000 1
Co1 0.0000 0.5000 0.5000 1
Co2 0.5000 0.0000 0.5000 1
Co3 0.5000 0.5000 0.0000 1
Rh1 0.0000 0.0000 0.5000 1
Rh2 0.0000 0.5000 0.0000 1
Rh3 0.5000 0.0000 0.0000 1
Rh4 0.5000 0.5000 0.5000 1
O1 0.1469 0.8286 0.3183 1
O2 0.1714 0.3183 0.4898 1
O3 0.1714 0.6817 0.8531 1
O4 0.3183 0.1469 0.8286 1
O5 0.3183 0.4898 0.1714 1
O6 0.4898 0.1714 0.3183 1
O7 0.5102 0.8286 0.6817 1
O8 0.6817 0.5102 0.8286 1
O9 0.6817 0.8531 0.1714 1
O10 0.8286 0.3183 0.1469 1
O11 0.8286 0.6817 0.5102 1
O12 0.8531 0.1714 0.6817 1
# VASP energy ... -6.327 eV/atom
# Total magnetization ... 5.643 μB per formula unit



(6)
# SrCo2Rh2O7 | Alexandria via LeMat-Bulk | PBE+U | relaxed
data_SrCo2Rh2O7
_cell_length_a 8.7606
_cell_length_b 8.7606
_cell_length_c 8.7606
_cell_angle_alpha 153.23
_cell_angle_beta 38.07
_cell_angle_gamma 153.43
_symmetry_space_group_name_H-M 'P 1'
_symmetry_Int_Tables_number 1
loop_
_symmetry_equiv_pos_as_xyz
'x,y,z'
loop_
_atom_site_label
_atom_site_fract_x
_atom_site_fract_y
_atom_site_fract_z
_atom_site_occupancy
Sr1 0.0000 0.0000 0.0000 1
Co1 0.2209 0.4695 0.7514 1
Co2 0.7180 0.4695 0.2486 1
Rh1 0.3696 0.9862 0.3834 1
Rh2 0.6029 0.9862 0.6166 1
O1 0.1155 0.4798 0.6357 1
O2 0.2259 0.9667 0.2592 1
O3 0.3268 0.4583 0.8685 1
O4 0.5897 0.4583 0.1315 1
O5 0.6162 0.1162 0.5000 1
O6 0.7075 0.9667 0.7408 1
O7 0.8441 0.4798 0.3643 1
# VASP energy ... -6.107 eV/atom
# Total magnetization ... 1.696 μB per formula unit



(7)
# Sr3Co2RhO9 | Alexandria via LeMat-Bulk | PBE+U | relaxed
data_Sr3Co2RhO9
_cell_length_a 5.5522
_cell_length_b 5.5522
_cell_length_c 6.7880
_cell_angle_alpha 90.00
_cell_angle_beta 90.00
_cell_angle_gamma 120.00
_symmetry_space_group_name_H-M 'P 1'
_symmetry_Int_Tables_number 1
loop_
_symmetry_equiv_pos_as_xyz
'x,y,z'
loop_
_atom_site_label
_atom_site_fract_x
_atom_site_fract_y
_atom_site_fract_z
_atom_site_occupancy
Sr1 0.0000 0.0000 0.0000 1
Sr2 0.3333 0.6667 0.6708 1
Sr3 0.6667 0.3333 0.3292 1
Co1 0.3333 0.6667 0.1587 1
Co2 0.6667 0.3333 0.8413 1
Rh1 0.0000 0.0000 0.5000 1
O1 0.0000 0.5000 0.0000 1
O2 0.1674 0.3347 0.3319 1
O3 0.1674 0.8326 0.3319 1
O4 0.3347 0.1674 0.6681 1
O5 0.5000 0.0000 0.0000 1
O6 0.5000 0.5000 0.0000 1
O7 0.6653 0.8326 0.3319 1
O8 0.8326 0.1674 0.6681 1
O9 0.8326 0.6653 0.6681 1
# VASP energy ... -6.092 eV/atom
# Total magnetization ... 8.979 μB per formula unit



(8)
# Tb2CoRhO6 | Alexandria via LeMat-Bulk | PBE+U | relaxed
data_Tb2CoRhO6
_cell_length_a 5.3116
_cell_length_b 5.7773
_cell_length_c 9.2933
_cell_angle_alpha 90.00
_cell_angle_beta 124.84
_cell_angle_gamma 90.00
_symmetry_space_group_name_H-M 'P 1'
_symmetry_Int_Tables_number 1
loop_
_symmetry_equiv_pos_as_xyz
'x,y,z'
loop_
_atom_site_label
_atom_site_fract_x
_atom_site_fract_y
_atom_site_fract_z
_atom_site_occupancy
Tb1 0.2246 0.0782 0.2500 1
Tb2 0.2246 0.4218 0.7500 1
Tb3 0.7754 0.5782 0.2500 1
Tb4 0.7754 0.9218 0.7500 1
Co1 0.0000 0.0000 0.5000 1
Co2 0.0000 0.5000 0.0000 1
Rh1 0.5000 0.0000 0.0000 1
Rh2 0.5000 0.5000 0.5000 1
O1 0.1265 0.1890 0.9423 1
O2 0.1265 0.3110 0.4423 1
O3 0.2587 0.6973 0.9390 1
O4 0.2587 0.8027 0.4390 1
O5 0.3710 0.0439 0.7498 1
O6 0.3710 0.4561 0.2498 1
O7 0.6290 0.5439 0.7502 1
O8 0.6290 0.9561 0.2502 1
O9 0.7413 0.1973 0.5610 1
O10 0.7413 0.3027 0.0610 1
O11 0.8735 0.6890 0.5577 1
O12 0.8735 0.8110 0.0577 1
# VASP energy ... -7.365 eV/atom
# Total magnetization ... 2.026 μB per formula unit